Here is Er2ZnPt9 after structural relaxation from Alexandria. Energies are from PBE-GGA.

Cell lengths 4.0656, 4.0656, 12.0306 Å; angles 90.00, 90.00, 90.00 degrees
Last column: nearest neighbours and their distance in Å.
Sites, in units of the cell vectors:
Er (0.0000, 0.0000, 0.3277)  12 Pt 2.87-2.90
Er (0.0000, 0.0000, 0.6723)  12 Pt 2.87-2.90
Zn (0.0000, 0.0000, 0.0000)  12 Pt 2.76-2.87
Pt (0.5000, 0.5000, 0.0000)  8 Pt 2.76, 4 Zn 2.87
Pt (0.5000, 0.5000, 0.3280)  4 Er 2.87, 8 Pt 2.90-2.91
Pt (0.5000, 0.5000, 0.6720)  4 Er 2.87, 8 Pt 2.90-2.91
Pt (0.5000, 0.0000, 0.1554)  2 Zn 2.76, 8 Pt 2.76-2.91, 2 Er 2.90
Pt (0.5000, 0.0000, 0.5000)  8 Pt 2.87-2.90, 4 Er 2.90
Pt (0.5000, 0.0000, 0.8446)  2 Zn 2.76, 8 Pt 2.76-2.91, 2 Er 2.90
Pt (0.0000, 0.5000, 0.1554)  8 Pt 2.76-2.91, 2 Zn 2.76, 2 Er 2.90
Pt (0.0000, 0.5000, 0.5000)  8 Pt 2.87-2.90, 4 Er 2.90
Pt (0.0000, 0.5000, 0.8446)  8 Pt 2.76-2.91, 2 Zn 2.76, 2 Er 2.90

Results
Final energy in eV per cell: -74.563
Mass density in g cm⁻³: 18.0
Spin magnetization in μB per cell: 0.000